A geometry-optimized Na2SrPuCl8 structure, computed with PBE.

It has space group P2/m (No. 10), with a = 6.5242 Å, b = 8.6408 Å, c = 6.6327 Å, α = 90.00°, β = 92.28° and γ = 90.00°. Symmetry generates all atoms from Na at (0.0000, 0.2371, 0.0000), Sr at (0.5000, 0.0000, 0.5000), Pu at (0.5000, 0.5000, 0.5000), Cl at (0.2098, 0.0000, 0.1799), Cl at (0.2311, 0.5000, 0.2014) and Cl at (0.2955, 0.2788, 0.6732).

The calculation puts the mass density at 2.94 g/cm³. Its uncorrected formation energy is -1.893 eV per atom. For the total magnetic moment, the calculation gives 4.00 μB/f.u. The calculation puts the energy at -56.14 eV/f.u.